[1]
First-principles (GGA-PBE) data for AsIrRu after structural relaxation, as listed in the Alexandria database.

Structure (POSCAR):
```
AsIrRu
1.0
2.9590 0.0000 0.0000
0.0000 2.9590 0.0000
0.0000 0.0000 9.9900
As Ir Ru
2 2 2
Direct
0.0000 0.0000 0.0000 As
0.5000 0.5000 0.5000 As
0.0000 0.0000 0.3408 Ir
0.5000 0.5000 0.8408 Ir
0.0000 0.0000 0.6431 Ru
0.5000 0.5000 0.1431 Ru
```

Summary:
Crystal system: tetragonal
E_form (meV/atom): 171
Excess energy over the best structure of this formula in the dataset (meV/atom): 136


[2]
First-principles (GGA-PBE) data for RbTaF2 after structural relaxation, as listed in the Alexandria database.

Structure (POSCAR):
```
RbTaF2
1.0
3.2805 0.0000 0.0000
-1.6403 2.8410 0.0000
0.0000 0.0000 23.4709
Rb Ta F
3 3 6
Direct
0.0000 0.0000 0.0000 Rb
0.3333 0.6667 0.6667 Rb
0.6667 0.3333 0.3333 Rb
0.0000 0.0000 0.5000 Ta
0.3333 0.6667 0.1667 Ta
0.6667 0.3333 0.8333 Ta
0.0000 0.0000 0.4127 F
0.0000 0.0000 0.5873 F
0.3333 0.6667 0.0793 F
0.3333 0.6667 0.2540 F
0.6667 0.3333 0.7460 F
0.6667 0.3333 0.9207 F
```

Summary:
Crystal system: trigonal
Formation energy from raw total energies (meV per atom): -1677
Excess energy over the best structure of this formula in the dataset (meV/atom): 0


[3]
First-principles (GGA-PBE) data for Ca2Sb4Ir3Rh after structural relaxation, as listed in the Alexandria database.

Structure (POSCAR):
```
Ca2Sb4Ir3Rh
1.0
4.5081 0.0000 0.0000
0.0000 4.5081 0.0000
0.0000 0.0000 10.7556
Ca Sb Ir Rh
2 4 3 1
Direct
0.0000 0.5000 0.2451 Ca
0.5000 0.0000 0.7549 Ca
0.0000 0.0000 0.5000 Sb
0.0000 0.5000 0.8683 Sb
0.5000 0.0000 0.1317 Sb
0.5000 0.5000 0.5000 Sb
0.0000 0.0000 0.0000 Ir
0.0000 0.5000 0.6274 Ir
0.5000 0.0000 0.3726 Ir
0.5000 0.5000 0.0000 Rh
```

Summary:
Crystal system: tetragonal
Formation energy from raw total energies (meV per atom): -527


[4]
First-principles (GGA-PBE) data for Ho12Tc3O5 after structural relaxation, as listed in the Alexandria database.

Structure (POSCAR):
```
Ho12Tc3O5
1.0
-7.5409 7.5409 7.5409
7.5409 -7.5409 7.5409
7.5409 7.5409 -7.5409
Ho Tc O
48 12 20
Direct
0.0234 0.2065 0.1214 Ho
0.0234 0.3169 0.9021 Ho
0.0852 0.7065 0.6831 Ho
0.0852 0.8786 0.4021 Ho
0.0979 0.6214 0.4148 Ho
0.0979 0.9766 0.6831 Ho
0.1214 0.0234 0.2065 Ho
0.1214 0.5979 0.9148 Ho
0.1831 0.2065 0.5852 Ho
0.1831 0.4766 0.5979 Ho
0.2065 0.1214 0.0234 Ho
0.2065 0.5852 0.1831 Ho
0.2935 0.3169 0.9148 Ho
0.2935 0.4766 0.3786 Ho
0.3169 0.9021 0.0234 Ho
0.3169 0.9148 0.2935 Ho
0.3786 0.2935 0.4766 Ho
0.3786 0.5852 0.9021 Ho
0.4021 0.0852 0.8786 Ho
0.4021 0.8169 0.5234 Ho
0.4148 0.0979 0.6214 Ho
0.4148 0.8169 0.7935 Ho
0.4766 0.3786 0.2935 Ho
0.4766 0.5979 0.1831 Ho
0.5234 0.4021 0.8169 Ho
0.5234 0.6214 0.7065 Ho
0.5852 0.1831 0.2065 Ho
0.5852 0.9021 0.3786 Ho
0.5979 0.1831 0.4766 Ho
0.5979 0.9148 0.1214 Ho
0.6214 0.4148 0.0979 Ho
0.6214 0.7065 0.5234 Ho
0.6831 0.0852 0.7065 Ho
0.6831 0.0979 0.9766 Ho
0.7065 0.5234 0.6214 Ho
0.7065 0.6831 0.0852 Ho
0.7935 0.4148 0.8169 Ho
0.7935 0.8786 0.9766 Ho
0.8169 0.5234 0.4021 Ho
0.8169 0.7935 0.4148 Ho
0.8786 0.4021 0.0852 Ho
0.8786 0.9766 0.7935 Ho
0.9021 0.0234 0.3169 Ho
0.9021 0.3786 0.5852 Ho
0.9148 0.1214 0.5979 Ho
0.9148 0.2935 0.3169 Ho
0.9766 0.6831 0.0979 Ho
0.9766 0.7935 0.8786 Ho
0.1250 0.2500 0.3750 Tc
0.1250 0.3750 0.7500 Tc
0.2500 0.3750 0.1250 Tc
0.2500 0.8750 0.6250 Tc
0.3750 0.1250 0.2500 Tc
0.3750 0.7500 0.1250 Tc
0.6250 0.2500 0.8750 Tc
0.6250 0.8750 0.7500 Tc
0.7500 0.1250 0.3750 Tc
0.7500 0.6250 0.8750 Tc
0.8750 0.6250 0.2500 Tc
0.8750 0.7500 0.6250 Tc
0.0000 0.0000 0.0000 O
0.0000 0.0000 0.5000 O
0.0000 0.5000 0.0000 O
0.0000 0.5000 0.5000 O
0.1250 0.7500 0.8750 O
0.1250 0.8750 0.2500 O
0.2500 0.1250 0.8750 O
0.2500 0.6250 0.3750 O
0.3750 0.2500 0.6250 O
0.3750 0.6250 0.7500 O
0.5000 0.0000 0.0000 O
0.5000 0.0000 0.5000 O
0.5000 0.5000 0.0000 O
0.5000 0.5000 0.5000 O
0.6250 0.3750 0.2500 O
0.6250 0.7500 0.3750 O
0.7500 0.3750 0.6250 O
0.7500 0.8750 0.1250 O
0.8750 0.1250 0.7500 O
0.8750 0.2500 0.1250 O
```

Summary:
Crystal system: cubic
Formation energy from raw total energies (meV per atom): -1441


[5]
First-principles (GGA-PBE) data for CdCuOs3 after structural relaxation, as listed in the Alexandria database.

Structure (POSCAR):
```
CdCuOs3
1.0
4.4921 0.0000 0.0000
0.0000 4.4921 0.0000
0.0000 0.0000 4.4921
Cd Cu Os
1 1 3
Direct
0.0000 0.0000 0.0000 Cd
0.5000 0.5000 0.5000 Cu
0.0000 0.5000 0.5000 Os
0.5000 0.0000 0.5000 Os
0.5000 0.5000 0.0000 Os
```

Summary:
Crystal system: cubic
E_form (meV/atom): 2022
Excess energy over the best structure of this formula in the dataset (meV/atom): 0


[6]
First-principles (GGA-PBE) data for Sm2ZrP3 after structural relaxation, as listed in the Alexandria database.

Structure (POSCAR):
```
Sm2ZrP3
1.0
3.9906 0.0000 0.0000
0.0000 3.9906 0.0000
0.0000 0.0000 16.8070
Sm Zr P
4 2 6
Direct
0.0000 0.0000 0.1662 Sm
0.0000 0.0000 0.8338 Sm
0.5000 0.5000 0.3338 Sm
0.5000 0.5000 0.6662 Sm
0.0000 0.0000 0.5000 Zr
0.5000 0.5000 0.0000 Zr
0.0000 0.0000 0.0000 P
0.0000 0.0000 0.3402 P
0.0000 0.0000 0.6598 P
0.5000 0.5000 0.1598 P
0.5000 0.5000 0.5000 P
0.5000 0.5000 0.8402 P
```

Summary:
Crystal system: tetragonal
E_form (meV/atom): -1441


[7]
First-principles (GGA-PBE) data for TbPmSmSn after structural relaxation, as listed in the Alexandria database.

Structure (POSCAR):
```
TbPmSmSn
1.0
7.7765 0.0000 0.0000
0.0000 7.7765 0.0000
0.0000 0.0000 7.7765
Tb Pm Sm Sn
4 4 4 4
Direct
0.0000 0.0000 0.0000 Tb
0.0000 0.5000 0.5000 Tb
0.5000 0.0000 0.5000 Tb
0.5000 0.5000 0.0000 Tb
0.2500 0.2500 0.7500 Pm
0.2500 0.7500 0.2500 Pm
0.7500 0.2500 0.2500 Pm
0.7500 0.7500 0.7500 Pm
0.2500 0.2500 0.2500 Sm
0.2500 0.7500 0.7500 Sm
0.7500 0.2500 0.7500 Sm
0.7500 0.7500 0.2500 Sm
0.0000 0.0000 0.5000 Sn
0.0000 0.5000 0.0000 Sn
0.5000 0.0000 0.0000 Sn
0.5000 0.5000 0.5000 Sn
```

Summary:
Crystal system: cubic
E_form (meV/atom): -258


[8]
First-principles (GGA-PBE) data for RbCaAlSe3 after structural relaxation, as listed in the Alexandria database.

Structure (POSCAR):
```
RbCaAlSe3
1.0
6.6086 -2.9579 0.0000
6.6086 2.9579 0.0000
-1.7149 0.0000 9.3933
Rb Ca Al Se
2 2 2 6
Direct
0.1497 0.1497 0.0284 Rb
0.8503 0.8503 0.9716 Rb
0.1553 0.1553 0.5727 Ca
0.8447 0.8447 0.4273 Ca
0.4546 0.4546 0.6500 Al
0.5454 0.5454 0.3500 Al
0.0216 0.0216 0.3009 Se
0.3357 0.3357 0.8054 Se
0.3647 0.3647 0.4003 Se
0.6353 0.6353 0.5997 Se
0.6643 0.6643 0.1946 Se
0.9784 0.9784 0.6991 Se
```

Summary:
Crystal system: monoclinic
Formation energy from raw total energies (meV per atom): -1206


Taking the records one at a time from the top gives DFT total energy values of -7.424, -5.818, -5.970, -6.982, -5.718, -7.144, -4.783, -4.067 eV per atom.
Taking the records one at a time from the top gives DOS at the Fermi energy values of 5.6, 5.4, 5.2, 45.9, 7.6, 4.1, 28.9, 0.0 states/eV per cell.